# 1
# LiGdYCu

A relaxed LiGdYCu crystal (PBE, Alexandria).

Computed properties:
VASP energy   -6.67 eV per atom
Symmetry   F-43m, No. 216
Calculated formation energy   -0.711 kcal/mol of atoms
Calculated volume   22.9 Å³/atom

```
LiGdYCu
1.0
-1.5404 -3.8065 -2.9595
2.9096 -4.1031 -0.5657
-1.4044 -4.4027 2.0651
Y Gd Cu Li
1 1 1 1
Cartesian
-0.0264 -9.2342 -1.0951
-0.0088 -3.0781 -0.3650
0.0000 0.0000 0.0000
-0.0176 -6.1561 -0.7301
```

# 2
# Tb5ScCd6

A relaxed Tb5ScCd6 crystal (PBE, Alexandria).

Computed properties:
VASP energy   -3.22 eV per atom
Symmetry   Cmmm, No. 65
Calculated formation energy   -7.116 kcal/mol of atoms
Calculated volume   25.8 Å³/atom

```
Tb5ScCd6
1.0
4.9691 -0.0297 1.6560
0.0403 7.4921 0.0134
-0.0113 -0.0148 8.3172
Sc Tb Cd
1 5 6
Cartesian
0.0000 0.0000 0.0000
3.3406 3.7164 6.6095
1.6573 -0.0148 3.3104
0.0201 3.7460 0.0067
3.3005 -0.0297 6.6627
1.6574 3.7312 3.3770
4.1942 5.6478 4.0829
4.1734 1.7849 4.0760
2.4943 1.7940 0.8313
2.5150 5.6684 0.8381
0.8247 5.6627 5.9106
0.8038 1.7998 5.9036
```

# 3
# CaCe4Gd

A relaxed CaCe4Gd crystal (PBE, Alexandria).

Computed properties:
VASP energy   -6.40 eV per atom
Symmetry   F-43m, No. 216
Calculated formation energy   5.555 kcal/mol of atoms
Calculated volume   31.7 Å³/atom

```
CaCe4Gd
1.0
6.4531 0.0000 0.0000
3.2265 5.5885 0.0000
3.2265 1.8628 5.2689
Ca Gd Ce
1 1 4
Cartesian
3.2265 1.8628 1.3172
0.0000 0.0000 0.0000
6.4531 3.7257 0.5188
6.4531 1.7311 3.3397
8.1804 4.7230 3.3397
4.7257 4.7230 3.3397
```

# 4
# Tb4Y2HoMg

A relaxed Tb4Y2HoMg crystal (PBE, Alexandria).

Computed properties:
VASP energy   -4.68 eV per atom
Symmetry   P4/mmm, No. 123
Calculated formation energy   0.467 kcal/mol of atoms
Calculated volume   30.9 Å³/atom

```
Tb4Y2HoMg
1.0
4.9621 0.0000 0.0000
0.0000 4.8562 1.0629
0.0000 2.7155 10.8501
Tb Y Ho Mg
4 2 1 1
Cartesian
0.0000 5.6756 8.9524
0.0000 1.8961 2.9606
2.4811 4.3233 3.4897
2.4811 3.2483 8.4233
0.0000 2.7155 10.8500
2.4811 6.2139 6.4880
4.9621 3.7858 5.9565
2.4810 2.4281 0.5315
```

# 5
# Ac2Pa2Se7

A relaxed Ac2Pa2Se7 crystal (PBE, Alexandria).

Computed properties:
VASP energy   -6.21 eV per atom
Symmetry   Cmmm, No. 65
Uncorrected formation energy   -1.5215 eV per atom
E above lowest polymorph   0.090 eV per atom
Calculated volume   31.5 Å³/atom

```
Ac2Pa2Se7
1.0
-2.8027 -4.9152 4.1538
-3.4649 -2.7236 -5.5628
5.7528 -3.5804 -1.8318
Ac Pa Se
2 2 7
Cartesian
0.4867 -7.7525 -1.0347
-1.0015 -3.4667 -2.2061
-3.9508 -7.2773 -3.0296
3.4360 -3.9419 -0.2111
-0.7896 -7.3862 1.8463
1.7502 -8.0819 -3.9258
0.2748 -3.8330 -5.0871
-2.2650 -3.1373 0.6850
0.0000 0.0000 0.0000
-1.1821 -6.3353 -3.1005
0.6673 -4.8840 -0.1403
```

# 6
# Sb2SeIO

A relaxed Sb2SeIO crystal (PBE, Alexandria).

Computed properties:
VASP energy   -2.52 eV per atom
Symmetry   P4/mmm, No. 123
Uncorrected formation energy   1.1308 eV per atom
E above lowest polymorph   0.796 eV per atom
Calculated volume   33.3 Å³/atom

```
Sb2SeIO
1.0
5.4278 0.0000 0.0000
0.0000 5.4278 0.0000
0.0000 0.0000 5.6502
I Sb O Se
1 2 1 1
Cartesian
0.0000 0.0000 2.8251
0.0000 2.7139 0.0000
2.7139 0.0000 0.0000
2.7139 2.7139 2.8251
0.0000 0.0000 0.0000
```

# 7
# PuPaBiSe

A relaxed PuPaBiSe crystal (PBE, Alexandria).

Computed properties:
VASP energy   -8.44 eV per atom
Symmetry   F-43m, No. 216
Uncorrected formation energy   -0.6430 eV per atom
Calculated volume   25.9 Å³/atom

```
PuPaBiSe
1.0
-2.0946 -2.5462 -4.1130
-2.2574 -4.7134 0.6895
-5.2320 -0.5009 -0.4034
Pa Bi Se Pu
1 1 1 1
Cartesian
-2.3960 -1.9401 -0.9567
-4.7920 -3.8803 -1.9135
0.0000 0.0000 0.0000
-7.1880 -5.8204 -2.8702
```

# 8
# K2CrTeRh

A relaxed K2CrTeRh crystal (PBE, Alexandria).

Computed properties:
VASP energy   -4.00 eV per atom
Symmetry   P4/mmm, No. 123
Uncorrected formation energy   0.4645 eV per atom
Calculated volume   35.0 Å³/atom

```
K2CrTeRh
1.0
6.2281 0.0000 0.0000
0.0000 4.5141 0.0000
0.0000 0.0000 6.2281
Cr K Te Rh
1 2 1 1
Cartesian
0.0000 2.2571 0.0000
0.0000 0.0000 3.1141
3.1141 0.0000 0.0000
3.1141 2.2571 3.1141
0.0000 0.0000 0.0000
```

Among the records above, which one has the highest calculated volume?
K2CrTeRh